(1)
A plane-wave DFT calculation with PBE was carried out for a relaxed structure of MgGa2HgPt.

Geometry as extended XYZ:
```
5
Lattice="4.820 0.000 0.000 0.000 4.820 0.000 0.000 0.000 5.186" Properties=species:S:1:pos:R:3 pbc="T T T"
Mg 0.000 0.000 0.000
Ga 0.000 2.410 2.593
Ga 2.410 0.000 2.593
Hg 2.410 2.410 0.000
Pt 0.000 0.000 2.593
```

Properties
The formation enthalpy at 0 K comes out at -0.34 eV/atom. As for the space group: P4/mmm.

***

(2)
A plane-wave DFT calculation with PBE was carried out for a relaxed structure of Ce3Pr2SmN6.

Geometry as extended XYZ:
```
12
Lattice="3.124 -5.410 0.000 3.124 5.410 0.000 -2.082 0.000 5.889" Properties=species:S:1:pos:R:3 pbc="T T T"
Ce 0.000 0.000 0.000
Ce 3.124 1.798 0.000
Ce 3.124 -1.798 0.000
Pr 2.083 3.606 2.944
Pr 2.083 -3.606 2.944
Sm 2.083 0.000 2.944
N 1.060 1.771 1.374
N 0.037 0.000 4.516
N 1.060 -1.771 1.374
N 3.106 1.771 4.515
N 4.128 0.000 1.373
N 3.106 -1.771 4.515
```

Properties
The value obtained for the uncorrected formation energy is -1.45 eV/atom. As for the space group: C2/m.

***

(3)
A plane-wave DFT calculation with PBE was carried out for a relaxed structure of LaMg2Rh2.

Geometry as extended XYZ:
```
5
Lattice="-2.348 2.348 4.769 2.348 -2.348 4.769 2.348 2.348 -4.769" Properties=species:S:1:pos:R:3 pbc="T T T"
La 0.000 0.000 0.000
Mg 0.000 0.000 3.366
Mg 0.000 0.000 6.171
Rh 2.348 0.000 2.384
Rh 0.000 2.348 2.384
```

Properties
The formation enthalpy at 0 K comes out at -0.39 eV/atom. As for the space group: I4/mmm.

***

(4)
A plane-wave DFT calculation with PBE was carried out for a relaxed structure of TlFeBH2.

Geometry as extended XYZ:
```
5
Lattice="3.419 0.000 0.000 0.000 3.419 0.000 0.000 0.000 5.619" Properties=species:S:1:pos:R:3 pbc="T T T"
Tl 0.000 0.000 0.000
Fe 0.000 0.000 2.809
B 1.709 1.709 0.000
H 0.000 1.709 2.809
H 1.709 0.000 2.809
```

Properties
As for the total energy: -3.76 eV/atom. As for the space group: P4/mmm.

***

(5)
A plane-wave DFT calculation with PBE was carried out for a relaxed structure of AgSn2I.

Geometry as extended XYZ:
```
4
Lattice="0.000 3.809 3.809 3.809 0.000 3.809 3.809 3.809 0.000" Properties=species:S:1:pos:R:3 pbc="T T T"
Ag 0.000 0.000 0.000
Sn 1.904 1.904 1.904
Sn 5.713 5.713 5.713
I 3.809 3.809 3.809
```

Properties
The value obtained for the uncorrected formation energy is 0.31 eV/atom. As for the space group: Fm-3m.

***

(6)
A plane-wave DFT calculation with PBE was carried out for a relaxed structure of Mn2AgRh.

Geometry as extended XYZ:
```
4
Lattice="4.452 0.000 0.000 0.000 4.452 0.000 0.000 0.000 3.093" Properties=species:S:1:pos:R:3 pbc="T T T"
Mn 0.000 2.226 0.000
Mn 2.226 0.000 0.000
Ag 0.000 0.000 1.547
Rh 2.226 2.226 1.547
```

Properties
The formation enthalpy at 0 K comes out at 0.10 eV/atom. As for the space group: P4/mmm.